A plane-wave DFT calculation with PBE was carried out for an optimized crystal structure of TcAuF2.

Results
- Density: 9.45 Mg/m³
- Crystal system: cubic
- SG: Fm-3m, No. 225
- Raw formation energy: -138 meV per atom
- Fermi-level density of states: 0.4947 states/eV per atom

Cell: 4.358 4.358 4.358 Å, 60.00 60.00 60.00°
Last column: magnetic moment on the atom in μB.
Fractional coordinates of all 4 atoms:
Tc (0.000, 0.000, 0.000)  3.84
F (0.250, 0.250, 0.250)  0.06
F (0.750, 0.750, 0.750)  0.06
Au (0.500, 0.500, 0.500)  0.04